Pm8Ga2Ag (PBE, relaxed); formation enthalpy at 0 K = -241 kJ/mol of formula units; E = -4.492 eV per atom; space group = C2/m
1.0
9.307 -2.577 0.000
9.307 2.577 0.000
-1.255 0.000 6.783
Pm Ga Ag
8 2 1
Direct
0.029 0.029 0.258
0.201 0.201 0.809
0.340 0.340 0.537
0.408 0.408 0.042
0.592 0.592 0.958
0.660 0.660 0.463
0.799 0.799 0.191
0.971 0.971 0.742
0.195 0.195 0.249
0.805 0.805 0.751
0.500 0.500 0.500

---

Ba5AsAu (PBE, relaxed); formation enthalpy at 0 K = -386 kJ/mol of formula units; E = -3.078 eV per atom; space group = P2_1/m
1.0
8.840 0.000 0.000
0.000 4.633 0.000
-0.427 0.000 17.379
Ba As Au
10 2 2
Direct
0.088 0.250 0.217
0.133 0.250 0.590
0.217 0.750 0.999
0.373 0.750 0.419
0.393 0.250 0.793
0.607 0.750 0.207
0.627 0.250 0.581
0.783 0.250 0.001
0.867 0.750 0.410
0.912 0.750 0.783
0.078 0.250 0.885
0.922 0.750 0.115
0.383 0.750 0.639
0.617 0.250 0.361

---

AcPmErCd (PBE, relaxed); formation enthalpy at 0 K = 28 kJ/mol of formula units; E = -3.512 eV per atom; space group = F-43m
1.0
0.000 3.995 3.995
3.995 0.000 3.995
3.995 3.995 0.000
Ac Pm Er Cd
1 1 1 1
Direct
0.000 0.000 0.000
0.750 0.750 0.750
0.250 0.250 0.250
0.500 0.500 0.500

---

K2NaCdBr4 (PBE, relaxed); E = -2.568 eV per atom; space group = Fddd; energy relative to the elements, uncorrected = -1178 meV/atom
1.0
0.000 7.722 12.115
3.191 0.000 12.115
3.191 7.722 0.000
K Na Cd Br
4 2 2 8
Direct
0.060 0.060 0.690
0.310 0.310 0.940
0.690 0.690 0.060
0.940 0.940 0.310
0.125 0.125 0.125
0.875 0.875 0.875
0.375 0.375 0.375
0.625 0.625 0.625
0.086 0.281 0.414
0.281 0.086 0.719
0.281 0.586 0.719
0.414 0.719 0.086
0.586 0.281 0.914
0.719 0.414 0.281
0.719 0.914 0.281
0.914 0.719 0.586

---

YTcPt2 (PBE, relaxed); formation enthalpy at 0 K = -143 kJ/mol of formula units; E = -7.599 eV per atom; space group = Cm; E above lowest polymorph = 0.30 eV per formula unit
1.0
4.746 -1.490 0.000
4.746 1.490 0.000
-0.970 0.000 5.072
Y Tc Pt
1 1 2
Direct
0.000 0.000 0.000
0.757 0.757 0.329
0.245 0.245 0.757
0.494 0.494 0.482

---

Ni2Ge2H (PBE, relaxed); E = -4.579 eV per atom; space group = P4/mbm
1.0
6.786 0.000 0.000
0.000 6.786 0.000
0.000 0.000 2.793
Ni Ge H
4 4 2
Direct
0.137 0.363 0.000
0.363 0.863 0.000
0.637 0.137 0.000
0.863 0.637 0.000
0.162 0.662 0.500
0.338 0.162 0.500
0.662 0.838 0.500
0.838 0.338 0.500
0.000 0.000 0.000
0.500 0.500 0.000